[1]
Compound: ScInSi2
Source: Alexandria via LeMat-Bulk
Functional: GGA-PBE
Structure: optimized geometry

Values from the calculation:
The value obtained for the magnetic moment is 0.0 μB/cell. For the density of states at the Fermi level, the calculation gives 0.650 states/eV per atom. The uncorrected formation energy comes out at -69 meV/atom.

POSCAR file:
```
ScInSi2
1.0
3.412 0.000 0.000
0.000 3.412 0.000
0.000 0.000 6.484
Sc In Si
1 1 2
direct
0.000 0.000 0.000
0.500 0.500 0.685
0.000 0.000 0.413
0.500 0.500 0.250
```

[2]
Compound: Sc2InSi
Source: Alexandria via LeMat-Bulk
Functional: GGA-PBE
Structure: optimized geometry

Values from the calculation:
The value obtained for the magnetic moment is 0.0 μB/cell. For the density of states at the Fermi level, the calculation gives 0.993 states/eV per atom. The uncorrected formation energy comes out at -417 meV/atom.

POSCAR file:
```
Sc2InSi
1.0
4.438 0.000 0.000
0.000 4.438 0.000
0.000 0.000 4.072
Sc In Si
2 1 1
direct
0.000 0.500 0.000
0.500 0.000 0.000
0.000 0.000 0.500
0.500 0.500 0.500
```

[3]
Compound: YScIn2Si
Source: Alexandria via LeMat-Bulk
Functional: GGA-PBE
Structure: optimized geometry

Values from the calculation:
The value obtained for the magnetic moment is 0.0 μB/cell. For the density of states at the Fermi level, the calculation gives 0.310 states/eV per atom. The uncorrected formation energy comes out at 254 meV/atom.

POSCAR file:
```
YScIn2Si
1.0
5.324 0.000 0.000
0.000 5.324 0.000
0.000 0.000 4.960
Y Sc In Si
1 1 2 1
direct
0.000 0.000 0.000
0.500 0.500 0.500
0.000 0.500 0.500
0.500 0.000 0.500
0.500 0.500 0.000
```

[4]
Compound: Sm3ScIn2
Source: Alexandria via LeMat-Bulk
Functional: GGA-PBE
Structure: optimized geometry

Values from the calculation:
The value obtained for the magnetic moment is 0.0 μB/cell. The total energy is -4.651 eV/atom. For the density of states at the Fermi level, the calculation gives 0.942 states/eV per atom.

POSCAR file:
```
Sm3ScIn2
1.0
2.461 -7.654 0.000
2.461 7.654 0.000
0.000 0.000 4.497
Sm Sc In
3 1 2
direct
0.000 0.000 0.000
0.328 0.672 0.000
0.672 0.328 0.000
0.500 0.500 0.500
0.153 0.847 0.500
0.847 0.153 0.500
```